# 1
Entry from Alexandria: PrSm7Cd4 after structural relaxation (GGA-PBE).

```
data_PrSm7Cd4
_cell_length_a 14.9642
_cell_length_b 5.8404
_cell_length_c 9.9168
_cell_angle_alpha 90.00
_cell_angle_beta 122.08
_cell_angle_gamma 90.00
_symmetry_space_group_name_H-M 'C 1 2/m 1'
_symmetry_Int_Tables_number 12
_symmetry_space_group_name_Hall '-C 2y'
loop_
_atom_site_label
_atom_site_type_symbol
_atom_site_fract_x
_atom_site_fract_y
_atom_site_fract_z
Pr1 Pr 0.0000 0.0000 0.0000
Sm1 Sm 0.0000 0.5000 0.0000
Sm2 Sm 0.0701 0.0000 0.4118
Sm3 Sm 0.2042 0.0000 0.8806
Sm4 Sm 0.2357 0.5000 0.6915
Cd1 Cd 0.0402 0.5000 0.7118
Cd2 Cd 0.1821 0.5000 0.3423
```

Properties
electronic total energy: -83.4 eV/cell
ΔE_f: -0.0203 eV/atom
DOS at the Fermi energy: 14.9 states/eV/f.u.

---

# 2
Entry from Alexandria: Pr3Sm4Cd4 after structural relaxation (GGA-PBE).

```
data_Pr3Sm4Cd4
_cell_length_a 5.4258
_cell_length_b 7.1496
_cell_length_c 17.6904
_cell_angle_alpha 90.00
_cell_angle_beta 90.00
_cell_angle_gamma 90.00
_symmetry_space_group_name_H-M 'I m m m'
_symmetry_Int_Tables_number 71
_symmetry_space_group_name_Hall '-I 2 2'
loop_
_atom_site_label
_atom_site_type_symbol
_atom_site_fract_x
_atom_site_fract_y
_atom_site_fract_z
Pr1 Pr 0.0000 0.0000 0.0000
Pr2 Pr 0.0000 0.5000 0.1026
Sm1 Sm 0.0000 0.2652 0.3196
Cd1 Cd 0.0000 0.0000 0.1773
Cd2 Cd 0.0000 0.2048 0.5000
```

Properties
electronic total energy: -76.0 eV/cell
ΔE_f: -0.1038 eV/atom
DOS at the Fermi energy: 13.9 states/eV/f.u.

---

# 3
Entry from Alexandria: Pr2Sm3Cd3 after structural relaxation (GGA-PBE).

```
data_Pr2Sm3Cd3
_cell_length_a 5.0106
_cell_length_b 5.0130
_cell_length_c 9.4128
_cell_angle_alpha 90.00
_cell_angle_beta 90.00
_cell_angle_gamma 90.00
_symmetry_space_group_name_H-M 'P m m m'
_symmetry_Int_Tables_number 47
_symmetry_space_group_name_Hall '-P 2 2'
loop_
_atom_site_label
_atom_site_type_symbol
_atom_site_fract_x
_atom_site_fract_y
_atom_site_fract_z
Pr1 Pr 0.0000 0.0000 0.2390
Sm1 Sm 0.0000 0.5000 0.5000
Sm2 Sm 0.5000 0.5000 0.2304
Cd1 Cd 0.0000 0.5000 0.0000
Cd2 Cd 0.5000 0.0000 0.0000
Cd3 Cd 0.5000 0.0000 0.5000
```

Properties
electronic total energy: -27.9 eV/cell
excess energy over the best structure of this formula in the dataset: 49 meV/atom
ΔE_f: -0.1788 eV/atom
DOS at the Fermi energy: 11.2 states/eV/f.u.

---

# 4
Entry from Alexandria: Pr3SmCd8 after structural relaxation (GGA-PBE).

```
data_Pr3SmCd8
_cell_length_a 6.0275
_cell_length_b 6.0275
_cell_length_c 29.3664
_cell_angle_alpha 90.00
_cell_angle_beta 90.00
_cell_angle_gamma 120.00
_symmetry_space_group_name_H-M 'R 3 m'
_symmetry_Int_Tables_number 160
_symmetry_space_group_name_Hall 'R 3 -2"'
loop_
_atom_site_label
_atom_site_type_symbol
_atom_site_fract_x
_atom_site_fract_y
_atom_site_fract_z
Pr1 Pr 0.0000 0.0000 0.0000
Pr2 Pr 0.0000 0.0000 0.1245
Pr3 Pr 0.0000 0.0000 0.6246
Sm1 Sm 0.0000 0.0000 0.5004
Cd1 Cd 0.0000 0.0000 0.3124
Cd2 Cd 0.0000 0.0000 0.8124
Cd3 Cd 0.0007 0.5003 0.0628
Cd4 Cd 0.1669 0.3338 0.8953
```

Properties
electronic total energy: -90.1 eV/cell
ΔE_f: -0.3044 eV/atom
DOS at the Fermi energy: 7.7 states/eV/f.u.